First-principles (PBE-GGA) data for Nb3SeI after structural relaxation, as listed in Alexandria via LeMat-Bulk.

As for the energy above the lowest structure with this stoichiometry: 0.000 eV/atom. The total magnetization comes out at 0.0 Bohr magnetons per cell. The uncorrected formation energy is 19.250 kcal/mol of atoms. The total energy is -6.21 eV/atom.

a = 4.8522 Å, b = 4.8522 Å, c = 4.8522 Å
α = 90.00°, β = 90.00°, γ = 90.00°
Closest atoms and distances in Å follow each position.
Fractional positions:
1 I 0.5000 0.5000 0.5000  12 Nb 3.43
2 Nb 0.0000 0.0000 0.5000  2 Se 2.43
3 Nb 0.0000 0.5000 0.0000  2 Se 2.43
4 Nb 0.5000 0.0000 0.0000  2 Se 2.43
5 Se 0.0000 0.0000 0.0000  6 Nb 2.43



First-principles (PBE-GGA) data for Cs12Pb after structural relaxation, as listed in Alexandria via LeMat-Bulk.

The total magnetization comes out at 0.0 Bohr magnetons per cell. The total energy is -1.04 eV/atom. As for the formation energy: 30 meV/atom.

a = 11.7843 Å, b = 11.7843 Å, c = 11.7843 Å
α = 109.47°, β = 109.47°, γ = 109.47°
Closest atoms and distances in Å follow each position.
Fractional positions:
1 Cs 0.8760 0.1708 0.7052  1 Pb 4.64, 5 Cs 4.65-4.93
2 Cs 0.7052 0.8760 0.1708  1 Pb 4.64, 5 Cs 4.65-4.93
3 Cs 0.4656 0.1708 0.2948  1 Pb 4.64, 5 Cs 4.65-4.93
4 Cs 0.2948 0.4656 0.1708  1 Pb 4.64, 5 Cs 4.65-4.93
5 Cs 0.1708 0.2948 0.4656  1 Pb 4.64, 5 Cs 4.65-4.93
6 Cs 0.8292 0.7052 0.5344  1 Pb 4.64, 5 Cs 4.65-4.93
7 Cs 0.8292 0.2948 0.1240  1 Pb 4.64, 5 Cs 4.65-4.93
8 Cs 0.5344 0.8292 0.7052  1 Pb 4.64, 5 Cs 4.65-4.93
9 Cs 0.1240 0.8292 0.2948  1 Pb 4.64, 5 Cs 4.65-4.93
10 Cs 0.2948 0.1240 0.8292  1 Pb 4.64, 5 Cs 4.65-4.93
11 Cs 0.7052 0.5344 0.8292  1 Pb 4.64, 5 Cs 4.65-4.93
12 Cs 0.1708 0.7052 0.8760  1 Pb 4.64, 5 Cs 4.65-4.93
13 Pb 0.0000 0.0000 0.0000  12 Cs 4.64



First-principles (PBE-GGA) data for Ce2HgH after structural relaxation, as listed in Alexandria via LeMat-Bulk.

As for the energy above the lowest structure with this stoichiometry: 0.067 eV/atom. The total magnetization comes out at 2.0 Bohr magnetons per cell. The total energy is -4.10 eV/atom.

a = 3.4329 Å, b = 3.4326 Å, c = 8.4287 Å
α = 90.00°, β = 90.00°, γ = 120.00°
Closest atoms and distances in Å follow each position.
Fractional positions:
1 H 0.0000 0.5000 0.0000  6 Ce 2.51
2 Hg 0.0000 0.5000 0.5000  6 Ce 3.33, 6 Hg 3.43
3 Ce 0.6667 0.8333 0.8177  3 H 2.51
4 Ce 0.3333 0.1667 0.1823  3 H 2.51



First-principles (PBE-GGA) data for HfV2Pd after structural relaxation, as listed in Alexandria via LeMat-Bulk.

As for the energy above the lowest structure with this stoichiometry: 0.169 eV/atom. The total magnetization comes out at 0.0 Bohr magnetons per cell. The total energy is -8.09 eV/atom. As for the formation energy: 260 meV/atom.

a = 3.6916 Å, b = 3.6916 Å, c = 10.3272 Å
α = 79.70°, β = 79.70°, γ = 90.00°
Closest atoms and distances in Å follow each position.
Fractional positions:
1 V 0.8750 0.8779 0.7500  4 V 2.60-2.63, 2 Hf 2.81, 2 Pd 2.82
2 V 0.1221 0.6250 0.2500  4 V 2.60-2.63, 2 Hf 2.81, 2 Pd 2.82
3 V 0.6279 0.1250 0.2500  4 V 2.60-2.63, 2 Hf 2.81, 2 Pd 2.82
4 V 0.3750 0.3721 0.7500  4 V 2.60-2.63, 2 Hf 2.81, 2 Pd 2.82
5 Pd 0.2500 0.7500 0.5000  4 Hf 2.61, 4 V 2.82
6 Pd 0.5000 0.5000 0.0000  4 Hf 2.61, 4 V 2.82
7 Hf 0.0000 0.0000 0.0000  4 Pd 2.61, 4 V 2.81
8 Hf 0.7500 0.2500 0.5000  4 Pd 2.61, 4 V 2.81



First-principles (PBE-GGA) data for Tb5DyEr2 after structural relaxation, as listed in Alexandria via LeMat-Bulk.

As for the energy above the lowest structure with this stoichiometry: 0.160 eV/atom. The total magnetization comes out at 0.0 Bohr magnetons per cell. The total energy is -4.43 eV/atom. As for the formation energy: 176 meV/atom.

a = 8.7540 Å, b = 16.2281 Å, c = 11.1992 Å
α = 90.00°, β = 90.00°, γ = 161.05°
Closest atoms and distances in Å follow each position.
Fractional positions:
1 Dy 0.6540 0.1532 0.2500  4 Er 3.41-3.69, 7 Tb 3.49-3.77
2 Dy 0.3460 0.8468 0.7500  4 Er 3.41-3.69, 7 Tb 3.49-3.77
3 Tb 0.6206 0.9560 0.0764  3 Er 3.12-3.47, 2 Tb 3.34-3.44
4 Tb 0.3794 0.0440 0.5764  3 Er 3.12-3.47, 2 Tb 3.34-3.44
5 Tb 0.6206 0.9560 0.4236  3 Er 3.12-3.47, 2 Tb 3.34-3.44
6 Tb 0.4509 0.6846 0.7500  2 Er 3.46, 1 Dy 3.51, 6 Tb 3.68-3.77
7 Tb 0.4816 0.6805 0.4226  4 Tb 3.34-3.74, 2 Er 3.47-3.56, 1 Dy 3.49
8 Tb 0.3794 0.0440 0.9236  3 Er 3.12-3.47, 2 Tb 3.34-3.44
9 Tb 0.4816 0.6805 0.0774  4 Tb 3.34-3.74, 2 Er 3.47-3.56, 1 Dy 3.49
10 Tb 0.5184 0.3195 0.5774  4 Tb 3.34-3.74, 2 Er 3.47-3.56, 1 Dy 3.49
11 Tb 0.5491 0.3154 0.2500  2 Er 3.46, 1 Dy 3.51, 6 Tb 3.68-3.77
12 Tb 0.5184 0.3195 0.9226  4 Tb 3.34-3.74, 2 Er 3.47-3.56, 1 Dy 3.49
13 Er 0.6859 0.5760 0.1176  2 Er 2.90-2.97, 1 Tb 3.12
14 Er 0.3141 0.4240 0.8824  2 Er 2.90-2.97, 1 Tb 3.12
15 Er 0.6859 0.5760 0.3825  2 Er 2.90-2.97, 1 Tb 3.12
16 Er 0.3141 0.4240 0.6175  2 Er 2.90-2.97, 1 Tb 3.12



First-principles (PBE-GGA) data for NpGe2Ru after structural relaxation, as listed in Alexandria via LeMat-Bulk.

The total magnetization comes out at 6.8 Bohr magnetons per cell. The total energy is -8.09 eV/atom. As for the formation energy: -227 meV/atom.

a = 4.4317 Å, b = 6.9771 Å, c = 5.3494 Å
α = 97.44°, β = 114.47°, γ = 90.00°
Closest atoms and distances in Å follow each position.
Fractional positions:
1 Np 0.7500 0.2500 0.0000  8 Ge 2.92-3.24, 2 Ru 3.19
2 Np 0.2500 0.7500 0.0000  8 Ge 2.92-3.24, 2 Ru 3.19
3 Ru 0.5000 0.5000 0.5000  6 Ge 2.55-2.59
4 Ru 0.0000 0.0000 0.5000  6 Ge 2.55-2.59
5 Ge 0.9161 0.6365 0.3322  3 Ru 2.55-2.59, 1 Ge 2.68
6 Ge 0.5839 0.8635 0.6678  3 Ru 2.55-2.59, 1 Ge 2.68
7 Ge 0.0839 0.3635 0.6678  3 Ru 2.55-2.59, 1 Ge 2.68
8 Ge 0.4161 0.1365 0.3322  3 Ru 2.55-2.59, 1 Ge 2.68



First-principles (PBE-GGA) data for Y4Ag2Pb after structural relaxation, as listed in Alexandria via LeMat-Bulk.

The total magnetization comes out at 0.0 Bohr magnetons per cell. The total energy is -5.25 eV/atom. As for the formation energy: -215 meV/atom.

a = 5.1976 Å, b = 5.1976 Å, c = 8.8006 Å
α = 72.82°, β = 72.82°, γ = 60.00°
Closest atoms and distances in Å follow each position.
Fractional positions:
1 Y 0.8683 0.8683 0.3950  4 Ag 3.02-3.26, 1 Pb 3.27
2 Y 0.3861 0.3861 0.8417  4 Ag 3.08-3.29, 3 Pb 3.27
3 Y 0.6139 0.6139 0.1583  4 Ag 3.08-3.29, 3 Pb 3.27
4 Y 0.1317 0.1317 0.6050  4 Ag 3.02-3.26, 1 Pb 3.27
5 Ag 0.7466 0.7466 0.7602  8 Y 3.02-3.29
6 Ag 0.2534 0.2534 0.2398  8 Y 3.02-3.29
7 Pb 0.0000 0.0000 0.0000  8 Y 3.27, 6 Ag 3.60



First-principles (PBE-GGA) data for CuAsRu2 after structural relaxation, as listed in Alexandria via LeMat-Bulk.

The total magnetization comes out at 0.0 Bohr magnetons per cell. The total energy is -6.61 eV/atom. As for the formation energy: 212 meV/atom.

a = 8.0707 Å, b = 8.0707 Å, c = 8.0707 Å
α = 20.64°, β = 20.64°, γ = 20.64°
Closest atoms and distances in Å follow each position.
Fractional positions:
1 Ru 0.9948 0.9948 0.9948  3 As 2.49, 3 Cu 2.68
2 Ru 0.5052 0.5052 0.5052  3 As 2.49, 3 Cu 2.68
3 Cu 0.7500 0.7500 0.7500  6 Ru 2.68, 6 Cu 2.89
4 As 0.2500 0.2500 0.2500  6 Ru 2.49



First-principles (PBE-GGA) data for Sr3Tb3YSe8 after structural relaxation, as listed in Alexandria via LeMat-Bulk.

The total magnetization comes out at 0.0 Bohr magnetons per cell. The uncorrected formation energy is -44.686 kcal/mol of atoms. The total energy is -5.49 eV/atom.

a = 8.3455 Å, b = 8.3459 Å, c = 8.6175 Å
α = 118.96°, β = 90.00°, γ = 120.00°
Closest atoms and distances in Å follow each position.
Fractional positions:
1 Se 0.2562 0.5123 0.2684  3 Tb 2.92, 3 Sr 3.08
2 Se 0.7570 0.0150 0.2723  2 Tb 2.90-2.91, 1 Y 2.91, 2 Sr 3.10
3 Se 0.7421 0.9850 0.7277  2 Tb 2.90-2.91, 1 Y 2.91, 2 Sr 3.10
4 Se 0.2430 0.9850 0.7277  2 Tb 2.90-2.91, 1 Y 2.91, 2 Sr 3.10
5 Se 0.2430 0.4860 0.7283  2 Tb 2.91, 1 Y 2.91, 2 Sr 3.10
6 Se 0.7438 0.4877 0.7316  3 Tb 2.92, 3 Sr 3.08
7 Se 0.2579 0.0150 0.2723  2 Tb 2.90-2.91, 1 Y 2.91, 2 Sr 3.10
8 Se 0.7570 0.5140 0.2717  2 Tb 2.91, 1 Y 2.91, 2 Sr 3.10
9 Sr 0.5000 0.5000 0.0000  6 Se 3.08-3.10
10 Sr 0.0000 0.5000 0.0000  6 Se 3.08-3.10
11 Sr 0.0000 0.0000 0.0000  6 Se 3.08-3.10
12 Tb 0.0000 0.5000 0.5000  6 Se 2.91-2.92
13 Tb 0.5000 0.0000 0.5000  6 Se 2.90-2.92
14 Tb 0.5000 0.5000 0.5000  6 Se 2.91-2.92
15 Y 0.0000 0.0000 0.5000  6 Se 2.91



What did the eighth record say?
First-principles (PBE-GGA) data for CuAsRu2 after structural relaxation, as listed in Alexandria via LeMat-Bulk.

The total magnetization comes out at 0.0 Bohr magnetons per cell. The total energy is -6.61 eV/atom. As for the formation energy: 212 meV/atom.

a = 8.0707 Å, b = 8.0707 Å, c = 8.0707 Å
α = 20.64°, β = 20.64°, γ = 20.64°
Closest atoms and distances in Å follow each position.
Fractional positions:
1 Ru 0.9948 0.9948 0.9948  3 As 2.49, 3 Cu 2.68
2 Ru 0.5052 0.5052 0.5052  3 As 2.49, 3 Cu 2.68
3 Cu 0.7500 0.7500 0.7500  6 Ru 2.68, 6 Cu 2.89
4 As 0.2500 0.2500 0.2500  6 Ru 2.49



Question: Which value of total magnetization does entry 2 give?
Answer: 0.0 Bohr magnetons per cell